No. 1
Below is an optimized crystal structure of BaPt2O, with properties calculated at the PBE level.

Results
The value obtained for the electronic total energy is -5.295 eV per atom. The value obtained for the formation energy (no corrections) is -0.555 eV per atom. Its symmetry is I4_1/amd. Its density of states at the Fermi level is 3.8 states/eV per cell.

a = 5.431 Å, b = 5.431 Å, c = 7.358 Å
α = 68.34°, β = 68.34°, γ = 90.00°
Fractional positions:
Pt1 0.375 0.625 0.750
Pt2 0.375 0.125 0.250
Pt3 0.875 0.625 0.750
Pt4 0.375 0.625 0.250
Ba1 0.750 0.250 0.500
Ba2 0.000 0.000 0.000
O1 0.500 0.500 0.000
O2 0.250 0.750 0.500

No. 2
Below is an optimized crystal structure of LiDyYTl, with properties calculated at the PBE level.

Results
The value obtained for the electronic total energy is -4.050 eV per atom. The value obtained for the formation energy is -213 meV/atom. Its symmetry is F-43m. Its density of states at the Fermi level is 3.2 states/eV per cell.

a = 5.288 Å, b = 5.288 Å, c = 5.288 Å
α = 60.00°, β = 60.00°, γ = 60.00°
Fractional positions:
Y1 0.750 0.750 0.750
Dy1 0.250 0.250 0.250
Li1 0.000 0.000 0.000
Tl1 0.500 0.500 0.500

No. 3
Below is an optimized crystal structure of Hf6Hg3Ru, with properties calculated at the PBE level.

Results
The value obtained for the electronic total energy is -6.868 eV per atom. The value obtained for the formation energy is 123 meV/atom. Its symmetry is C2/m. Its density of states at the Fermi level is 9.4 states/eV per cell.

a = 7.609 Å, b = 5.830 Å, c = 5.830 Å
α = 59.84°, β = 75.87°, γ = 75.87°
Fractional positions:
Hf1 0.682 0.397 0.884
Hf2 0.318 0.116 0.603
Hf3 0.080 0.636 0.636
Hf4 0.318 0.603 0.116
Hf5 0.682 0.884 0.397
Hf6 0.920 0.364 0.364
Hg1 0.000 0.000 0.000
Hg2 0.683 0.884 0.884
Hg3 0.317 0.116 0.116
Ru1 0.500 0.500 0.500

No. 4
Below is an optimized crystal structure of CuSiSe3, with properties calculated at the PBE level.

Results
The value obtained for the electronic total energy is -3.414 eV per atom. The value obtained for the formation energy (no corrections) is 0.581 eV per atom. Its symmetry is Pm-3m. Its density of states at the Fermi level is 2.9 states/eV per cell.

a = 4.767 Å, b = 4.767 Å, c = 4.767 Å
α = 90.00°, β = 90.00°, γ = 90.00°
Fractional positions:
Se1 0.500 0.000 0.000
Se2 0.000 0.500 0.000
Se3 0.000 0.000 0.500
Si1 0.500 0.500 0.500
Cu1 0.000 0.000 0.000

No. 5
Below is an optimized crystal structure of LiGePd5, with properties calculated at the PBE level.

Results
The value obtained for the electronic total energy is -4.984 eV per atom. The value obtained for the formation energy is -342 meV/atom. Its symmetry is Cmcm. Its density of states at the Fermi level is 6.3 states/eV per cell.

a = 4.489 Å, b = 4.489 Å, c = 10.892 Å
α = 90.00°, β = 90.00°, γ = 80.10°
Fractional positions:
Pd1 0.439 0.142 0.612
Pd2 0.949 0.051 0.750
Pd3 0.561 0.858 0.112
Pd4 0.142 0.439 0.388
Pd5 0.858 0.561 0.612
Pd6 0.439 0.142 0.888
Pd7 0.858 0.561 0.888
Pd8 0.561 0.858 0.388
Pd9 0.142 0.439 0.112
Pd10 0.051 0.949 0.250
Li1 0.374 0.626 0.750
Li2 0.626 0.374 0.250
Ge1 0.000 0.000 0.500
Ge2 0.000 0.000 0.000

No. 6
Below is an optimized crystal structure of K2TlWS4, with properties calculated at the PBE level.

Results
The value obtained for the electronic total energy is -4.894 eV per atom. The value obtained for the formation energy (no corrections) is -0.641 eV per atom. Its symmetry is Fddd. Its density of states at the Fermi level is 7.6 states/eV per cell.

a = 7.344 Å, b = 7.496 Å, c = 12.658 Å
α = 81.83°, β = 73.14°, γ = 60.67°
Last column: magnetic moment on the atom in μB.
Fractional positions:
Tl1 0.000 0.000 0.000  0.00
Tl2 0.750 0.500 0.500  0.00
S1 0.216 0.301 0.397  0.01
S2 0.836 0.801 0.897  0.01
S3 0.483 0.301 0.603  0.01
S4 0.267 0.199 0.897  0.01
S5 0.534 0.199 0.103  0.01
S6 0.363 0.801 0.103  0.01
S7 0.914 0.699 0.603  0.01
S8 0.387 0.699 0.397  0.01
K1 0.806 0.000 0.389  0.00
K2 0.944 0.500 0.111  0.00
K3 0.556 0.500 0.889  0.00
K4 0.194 0.000 0.611  0.00
W1 0.500 0.000 0.000  0.67
W2 0.250 0.500 0.500  0.67

No. 7
Below is an optimized crystal structure of Cs2CaCoSi, with properties calculated at the PBE level.

Results
The value obtained for the electronic total energy is -1.983 eV per atom. The value obtained for the formation energy (no corrections) is 1.264 eV per atom. Its symmetry is P4/mmm. Its density of states at the Fermi level is 15.8 states/eV per cell.

a = 7.213 Å, b = 4.603 Å, c = 7.213 Å
α = 90.00°, β = 90.00°, γ = 90.00°
Last column: magnetic moment on the atom in μB.
Fractional positions:
Ca1 0.000 0.000 0.000  0.00
Cs1 0.500 0.000 0.000  0.02
Cs2 0.000 0.000 0.500  0.02
Co1 0.000 0.500 0.000  -0.11
Si1 0.500 0.500 0.500  0.39

No. 8
Below is an optimized crystal structure of Ca2PrAl9, with properties calculated at the PBE level.

Results
The value obtained for the electronic total energy is -3.836 eV per atom. The value obtained for the formation energy is -297 meV/atom. Its symmetry is R-3m. Its density of states at the Fermi level is 7.7 states/eV per cell.

a = 5.644 Å, b = 5.644 Å, c = 9.520 Å
α = 72.76°, β = 72.76°, γ = 60.00°
Fractional positions:
Al1 0.923 0.415 0.246
Al2 0.665 0.665 0.006
Al3 0.335 0.335 0.994
Al4 0.415 0.415 0.246
Al5 0.585 0.077 0.754
Al6 0.415 0.923 0.246
Al7 0.500 0.500 0.500
Al8 0.077 0.585 0.754
Al9 0.585 0.585 0.754
Pr1 0.000 0.000 0.000
Ca1 0.858 0.858 0.426
Ca2 0.142 0.142 0.574

No. 9
Below is an optimized crystal structure of MnSiGeOs, with properties calculated at the PBE level.

Results
The value obtained for the electronic total energy is -7.677 eV per atom. The value obtained for the formation energy (no corrections) is -0.067 eV per atom. Its symmetry is F-43m. Its density of states at the Fermi level is 2.8 states/eV per cell.

a = 4.169 Å, b = 4.169 Å, c = 4.169 Å
α = 60.00°, β = 60.00°, γ = 60.00°
Last column: magnetic moment on the atom in μB.
Fractional positions:
Mn1 0.750 0.750 0.750  0.63
Ge1 0.000 0.000 0.000  -0.03
Si1 0.500 0.500 0.500  -0.03
Os1 0.250 0.250 0.250  0.10

No. 10
Below is an optimized crystal structure of In2CoI, with properties calculated at the PBE level.

Results
The value obtained for the electronic total energy is -3.163 eV per atom. The value obtained for the formation energy (no corrections) is 0.370 eV per atom. Its symmetry is I-42d. Its density of states at the Fermi level is 7.4 states/eV per cell.

a = 6.345 Å, b = 6.345 Å, c = 8.268 Å
α = 67.44°, β = 67.44°, γ = 90.00°
Last column: magnetic moment on the atom in μB.
Fractional positions:
Co1 0.500 0.500 0.000  1.04
Co2 0.250 0.750 0.500  1.04
I1 0.000 0.000 0.000  0.00
I2 0.750 0.250 0.500  0.00
In1 0.511 0.125 0.250  -0.05
In2 0.875 0.761 0.750  -0.06
In3 0.375 0.489 0.750  -0.06
In4 0.239 0.625 0.250  -0.05

No. 11
Below is an optimized crystal structure of YTaCr2, with properties calculated at the PBE level.

Results
The value obtained for the electronic total energy is -8.955 eV per atom. The value obtained for the formation energy is 436 meV/atom. Its symmetry is Fm-3m. Its density of states at the Fermi level is 4.7 states/eV per cell.

a = 4.650 Å, b = 4.650 Å, c = 4.650 Å
α = 60.00°, β = 60.00°, γ = 60.00°
Last column: magnetic moment on the atom in μB.
Fractional positions:
Y1 0.000 0.000 0.000  0.08
Ta1 0.500 0.500 0.500  -0.66
Cr1 0.250 0.250 0.250  2.10
Cr2 0.750 0.750 0.750  2.10

No. 12
Below is an optimized crystal structure of La2Sn13, with properties calculated at the PBE level.

Results
The value obtained for the electronic total energy is -4.103 eV per atom. The value obtained for the formation energy is 23 meV/atom. Its symmetry is R-3m. Its density of states at the Fermi level is 12.0 states/eV per cell.

a = 6.823 Å, b = 6.823 Å, c = 14.576 Å
α = 76.46°, β = 76.46°, γ = 60.00°
Fractional positions:
Sn1 0.732 0.185 0.351
Sn2 0.552 0.552 0.812
Sn3 0.448 0.916 0.188
Sn4 0.815 0.268 0.649
Sn5 0.268 0.268 0.649
Sn6 0.552 0.084 0.812
Sn7 0.185 0.732 0.351
Sn8 0.500 0.500 0.500
Sn9 0.268 0.815 0.649
Sn10 0.448 0.448 0.188
Sn11 0.916 0.448 0.188
Sn12 0.084 0.552 0.812
Sn13 0.732 0.732 0.351
La1 0.330 0.330 0.010
La2 0.670 0.670 0.990

> Which of these has the highest electronic total energy?

Cs2CaCoSi

> electronic total energy of number 2 (LiDyYTl)?

-4.050 eV per atom

> The highest electronic total energy belongs to which entry?

Cs2CaCoSi